KZrP2: optimized geometry, GGA-PBE.

Results
energy relative to the elements: -0.437 eV/atom

The structure in CIF format:
```
data_KZrP2
_cell_length_a 3.5786
_cell_length_b 3.5786
_cell_length_c 8.4485
_cell_angle_alpha 90.00
_cell_angle_beta 90.00
_cell_angle_gamma 90.00
_symmetry_space_group_name_H-M 'P 4 m m'
_symmetry_Int_Tables_number 99
loop_
_symmetry_equiv_pos_as_xyz
'x,y,z'
'-y,x,z'
'-x,-y,z'
'y,-x,z'
'-x,y,z'
'y,x,z'
'x,-y,z'
'-y,-x,z'
loop_
_atom_site_label
_atom_site_fract_x
_atom_site_fract_y
_atom_site_fract_z
K1 0.0000 0.0000 0.0000
Zr1 0.5000 0.5000 0.5282
P1 0.0000 0.0000 0.6162
P2 0.5000 0.5000 0.2345
```